(1)
Below is crystalline Ce2VOs at its relaxed geometry, with properties calculated at the PBE level.

a b c (Å): 10.382 10.382 10.382
angles (deg): 16.19 16.19 16.19
Sites, in units of the cell vectors:
Ce: 0.087 0.087 0.087
Ce: 0.913 0.913 0.913
V: 0.000 0.000 0.000
Os: 0.500 0.500 0.500

Computed properties:
Calculated formation energy (eV per formula unit): 1.831
Space-group type: R-3m (166)

=====

(2)
Below is crystalline Ac8GeSb4Se3 at its relaxed geometry, with properties calculated at the PBE level.

a b c (Å): 9.316 9.316 9.316
angles (deg): 60.09 60.09 60.09
Sites, in units of the cell vectors:
Ac: 0.248 0.248 0.248
Ac: 0.252 0.744 0.744
Ac: 0.256 0.256 0.748
Ac: 0.256 0.748 0.256
Ac: 0.744 0.252 0.744
Ac: 0.744 0.744 0.252
Ac: 0.748 0.256 0.256
Ac: 0.752 0.752 0.752
Ge: 0.500 0.500 0.500
Sb: 0.000 0.000 0.000
Sb: 0.000 0.500 0.500
Sb: 0.500 0.000 0.500
Sb: 0.500 0.500 0.000
Se: 0.000 0.000 0.500
Se: 0.000 0.500 0.000
Se: 0.500 0.000 0.000

Computed properties:
Space-group type: R-3m (166)
Formation energy without anion corrections (eV/atom): -1.435

=====

(3)
Below is crystalline Tc2MoOs at its relaxed geometry, with properties calculated at the PBE level.

a b c (Å): 9.242 9.242 9.242
angles (deg): 17.11 17.11 17.11
Sites, in units of the cell vectors:
Tc: 0.248 0.248 0.248
Tc: 0.752 0.752 0.752
Mo: 0.000 0.000 0.000
Os: 0.500 0.500 0.500

Computed properties:
Calculated formation energy (eV per formula unit): 0.585
Space-group type: R-3m (166)
Energy above the lowest structure with this stoichiometry (kcal/mol of atoms): 1.88

=====

(4)
Below is crystalline La12Tb3Hg at its relaxed geometry, with properties calculated at the PBE level.

a b c (Å): 5.153 5.153 20.805
angles (deg): 90.00 90.00 90.00
Sites, in units of the cell vectors:
La: 0.000 0.000 0.000
La: 0.000 0.000 0.247
La: 0.000 0.000 0.500
La: 0.000 0.000 0.753
La: 0.000 0.500 0.122
La: 0.000 0.500 0.374
La: 0.000 0.500 0.626
La: 0.000 0.500 0.878
La: 0.500 0.000 0.122
La: 0.500 0.000 0.374
La: 0.500 0.000 0.626
La: 0.500 0.000 0.878
Tb: 0.500 0.500 0.247
Tb: 0.500 0.500 0.500
Tb: 0.500 0.500 0.753
Hg: 0.500 0.500 0.000

Computed properties:
Calculated formation energy (eV per formula unit): -0.585
Space-group type: P4/mmm (123)